Ga3RhI: relaxed, PBEsol.

Results
- crystal system = cubic
- E_form (uncorrected) (kJ/mol of formula units) = 741
- calculated density (g cm⁻³) = 4.266
- spin magnetization (μB/cell) = 1.147

```
data_Ga3RhI
_symmetry_space_group_name_H-M 'P m -3 m'
_symmetry_Int_Tables_number 221
_symmetry_space_group_name_Hall '-P 4 2 3'
_cell_length_a 5.5491
_cell_length_b 5.5491
_cell_length_c 5.5491
_cell_angle_alpha 90.00
_cell_angle_beta 90.00
_cell_angle_gamma 90.00
loop_
_atom_site_label
_atom_site_type_symbol
_atom_site_fract_x
_atom_site_fract_y
_atom_site_fract_z
Ga1 Ga 0.0000 0.0000 0.5000
Rh1 Rh 0.5000 0.5000 0.5000
I1 I 0.0000 0.0000 0.0000
```